Entry one
A relaxed La2DyOs crystal. Source: Alexandria, functional GGA-PBE.

space-group type	Cmcm
mass density	8.876	Mg/m³

a = 6.4431 Å, b = 6.4431 Å, c = 9.3653 Å
α = 90.00°, β = 90.00°, γ = 142.64°
With the nearest neighbours (Å) after each atom.
Atoms (fractional coordinates):
La: 0.1413 0.8587 0.5696  3 Os 3.03-3.23, 1 La 3.38
La: 0.1413 0.8587 0.9304  3 Os 3.03-3.23, 1 La 3.38
La: 0.8587 0.1413 0.0696  3 Os 3.03-3.23, 1 La 3.38
La: 0.8587 0.1413 0.4304  3 Os 3.03-3.23, 1 La 3.38
Dy: 0.4179 0.5821 0.7500  2 Os 2.83
Dy: 0.5821 0.4179 0.2500  2 Os 2.83
Os: 0.2403 0.7597 0.2500  2 Dy 2.83, 4 La 3.03
Os: 0.7597 0.2403 0.7500  2 Dy 2.83, 4 La 3.03

---

Entry two
A relaxed La2DyOs crystal. Source: Alexandria, functional GGA-PBE.

space-group type	Pnma
mass density	8.898	Mg/m³

a = 7.4628 Å, b = 9.7878 Å, c = 6.4439 Å
α = 90.00°, β = 90.00°, γ = 90.00°
With the nearest neighbours (Å) after each atom.
Atoms (fractional coordinates):
La: 0.1751 0.0666 0.1719  2 Os 2.93-2.99
La: 0.1751 0.4334 0.1719  2 Os 2.93-2.99
La: 0.3249 0.5666 0.6719  2 Os 2.93-2.99
La: 0.3249 0.9334 0.6719  2 Os 2.93-2.99
La: 0.6751 0.0666 0.3281  2 Os 2.93-2.99
La: 0.6751 0.4334 0.3281  2 Os 2.93-2.99
La: 0.8249 0.5666 0.8281  2 Os 2.93-2.99
La: 0.8249 0.9334 0.8281  2 Os 2.93-2.99
Dy: 0.0444 0.2500 0.6485  2 Os 2.84
Dy: 0.4556 0.7500 0.1485  2 Os 2.84
Dy: 0.5444 0.2500 0.8515  2 Os 2.84
Dy: 0.9556 0.7500 0.3515  2 Os 2.84
Os: 0.1154 0.7500 0.9520  2 Dy 2.84, 4 La 2.93-2.99
Os: 0.3846 0.2500 0.4520  2 Dy 2.84, 4 La 2.93-2.99
Os: 0.6154 0.7500 0.5480  2 Dy 2.84, 4 La 2.93-2.99
Os: 0.8846 0.2500 0.0480  2 Dy 2.84, 4 La 2.93-2.99

---

Consider the structures shown above. The least stable of them is entry one.